A relaxed Hf2CrAs crystal. Source: the Alexandria database, functional PBE.

Unit cell a=7.4045 b=7.4045 c=5.9833 alpha=51.77 beta=51.77 gamma=90.00
Sites, in units of the cell vectors:
Hf 0.3750 0.3628 0.7500
Hf 0.6372 0.1250 0.2500
Hf 0.1128 0.6250 0.2500
Hf 0.8750 0.8872 0.7500
As 0.7500 0.2500 0.5000
As 0.0000 0.0000 0.0000
Cr 0.5000 0.5000 0.0000
Cr 0.2500 0.7500 0.5000



A relaxed HfCrAs3 crystal. Source: the Alexandria database, functional PBE.

Unit cell a=4.6443 b=4.6443 c=4.6443 alpha=90.00 beta=90.00 gamma=90.00
Sites, in units of the cell vectors:
Cr 0.0000 0.0000 0.0000
As 0.5000 0.0000 0.0000
As 0.0000 0.0000 0.5000
As 0.0000 0.5000 0.0000
Hf 0.5000 0.5000 0.5000

Offset from the most stable computed form, eV per formula unit: 0.000



A relaxed HfCr2As crystal. Source: the Alexandria database, functional PBE.

Unit cell a=7.2468 b=7.2468 c=5.7845 alpha=51.22 beta=51.22 gamma=90.00
Sites, in units of the cell vectors:
Cr 0.3750 0.4293 0.7500
Cr 0.5707 0.1250 0.2500
Cr 0.8750 0.8207 0.7500
Cr 0.1793 0.6250 0.2500
Hf 0.0000 0.0000 0.0000
Hf 0.7500 0.2500 0.5000
As 0.5000 0.5000 0.0000
As 0.2500 0.7500 0.5000



A relaxed HfCrAs crystal. Source: the Alexandria database, functional PBE.

Unit cell a=10.9292 b=5.4664 c=3.2813 alpha=90.00 beta=90.00 gamma=90.00
Sites, in units of the cell vectors:
Hf 0.6651 0.0000 0.5000
Hf 0.3349 0.0000 0.5000
Hf 0.1651 0.5000 0.0000
Hf 0.8349 0.5000 0.0000
As 0.3703 0.5000 0.5000
As 0.6297 0.5000 0.5000
As 0.1297 0.0000 0.0000
As 0.8703 0.0000 0.0000
Cr 0.5000 0.7401 0.0000
Cr 0.0000 0.2401 0.5000
Cr 0.0000 0.7599 0.5000
Cr 0.5000 0.2599 0.0000



A relaxed Hf2CrAs crystal. Source: the Alexandria database, functional PBE.

Unit cell a=3.0655 b=3.0655 c=10.0039 alpha=81.19 beta=81.19 gamma=60.00
Sites, in units of the cell vectors:
Cr 0.0000 0.0000 0.0000
Hf 0.0904 0.0904 0.7288
Hf 0.9096 0.9096 0.2712
As 0.5000 0.5000 0.5000



A relaxed HfCrAs crystal. Source: the Alexandria database, functional PBE.

Unit cell a=6.8785 b=5.2579 c=5.3042 alpha=90.00 beta=91.75 gamma=90.00
Sites, in units of the cell vectors:
Cr 0.0000 0.7096 0.0000
Cr 0.0000 0.2096 0.5000
Cr 0.0000 0.7904 0.5000
Cr 0.0000 0.2904 0.0000
As 0.7552 0.5000 0.2687
As 0.7552 0.0000 0.7687
As 0.2448 0.5000 0.7313
As 0.2448 0.0000 0.2313
Hf 0.3476 0.5000 0.2432
Hf 0.3476 0.0000 0.7432
Hf 0.6524 0.0000 0.2568
Hf 0.6524 0.5000 0.7568



A relaxed HfCrAs crystal. Source: the Alexandria database, functional PBE.

Unit cell a=3.3915 b=3.9202 c=15.6632 alpha=90.00 beta=99.39 gamma=90.00
Sites, in units of the cell vectors:
Hf 0.5061 0.5000 0.8262
Hf 0.3680 0.0000 0.6267
Hf 0.3680 0.5000 0.1267
Hf 0.5061 0.0000 0.3262
As 0.0658 0.5000 0.3828
As 0.9061 0.5000 0.6861
As 0.0658 0.0000 0.8828
As 0.9061 0.0000 0.1861
Cr 0.7308 0.5000 0.5193
Cr 0.7308 0.0000 0.0193
Cr 0.0071 0.5000 0.9767
Cr 0.0071 0.0000 0.4767



A relaxed HfCrAs crystal. Source: the Alexandria database, functional PBE.

Unit cell a=13.3492 b=5.3630 c=5.3639 alpha=90.00 beta=90.00 gamma=90.00
Sites, in units of the cell vectors:
Hf 0.3350 0.5000 0.9624
Hf 0.8350 0.0000 0.9624
Hf 0.6650 0.5000 0.9624
Hf 0.6650 0.0000 0.4624
Hf 0.8350 0.5000 0.4624
Hf 0.1650 0.5000 0.4624
Hf 0.1650 0.0000 0.9624
Hf 0.3350 0.0000 0.4624
Cr 0.5000 0.7501 0.2125
Cr 0.5000 0.2499 0.2125
Cr 0.5000 0.2501 0.7125
Cr 0.0000 0.2501 0.2125
Cr 0.0000 0.7501 0.7125
Cr 0.0000 0.7499 0.2125
Cr 0.0000 0.2499 0.7125
Cr 0.5000 0.7499 0.7125
As 0.6259 0.5000 0.4624
As 0.1259 0.0000 0.4624
As 0.8741 0.5000 0.9624
As 0.6259 0.0000 0.9624
As 0.3741 0.0000 0.9624
As 0.8741 0.0000 0.4624
As 0.3741 0.5000 0.4624
As 0.1259 0.5000 0.9624



For the records above, the corresponding uncorrected energy values read -67.0; -31.3; -64.5; -101.4; -32.5; -103.7; -100.7; -207.0 eV/cell.
For the records above, the corresponding DFT formation energy values read 0.67; 2.22; 1.60; -1.12; 1.69; -1.70; -0.95; -1.65 eV/f.u..